(1)
First-principles (PBE) data for Tl3AgI after structural relaxation, as listed in Alexandria.

## Properties
Total magnetic moment ... 0.00 μB per formula unit
Formation energy without anion corrections ... -0.083 eV per atom
DFT total energy ... -11.92 eV per cell
ΔE to the lowest computed polymorph ... 0 meV per atom

Structure (POSCAR):
```
Tl3AgI
1.0
5.6311 0.0000 0.0000
0.0000 5.6311 0.0000
0.0000 0.0000 5.6311
I Tl Ag
1 3 1
Direct
0.5000 0.5000 0.5000
0.0000 0.5000 0.0000
0.0000 0.0000 0.5000
0.5000 0.0000 0.0000
0.0000 0.0000 0.0000
```

(2)
First-principles (PBE) data for KSbAs2 after structural relaxation, as listed in Alexandria.

## Properties
Total magnetic moment ... 0.00 μB per formula unit
Formation energy without anion corrections ... 0.217 eV per atom
DFT total energy ... -13.65 eV per cell

Structure (POSCAR):
```
KSbAs2
1.0
5.8602 -0.0004 0.0000
2.3892 5.3511 0.0000
-4.1247 -2.6753 3.1893
As K Sb
2 1 1
Direct
0.0000 0.0000 0.0000
0.2500 0.7500 0.5000
0.5000 0.5000 0.0000
0.7500 0.2500 0.5000
```

(3)
First-principles (PBE) data for Pr4InGaO after structural relaxation, as listed in Alexandria.

## Properties
Total magnetic moment ... 0.00 μB per formula unit
Formation energy without anion corrections ... -1.044 eV per atom
DFT total energy ... -74.30 eV per cell

Structure (POSCAR):
```
Pr4InGaO
1.0
6.8049 0.0000 0.0000
0.0000 6.8238 0.0000
-3.4025 0.0000 8.4850
Pr In Ga O
8 2 2 2
Direct
0.9388 0.2500 0.8777
0.4194 0.7500 0.8389
0.0612 0.7500 0.1223
0.5806 0.2500 0.1611
0.5000 0.5000 0.5000
0.0000 0.0000 0.5000
0.5000 0.0000 0.5000
0.0000 0.5000 0.5000
0.6099 0.7500 0.2198
0.3901 0.2500 0.7802
0.1189 0.2500 0.2377
0.8811 0.7500 0.7623
0.2697 0.7500 0.5394
0.7303 0.2500 0.4606
```

(4)
First-principles (PBE) data for CaEuHoTm after structural relaxation, as listed in Alexandria.

## Properties
Formation enthalpy at 0 K ... 0.162 eV/atom
Total magnetic moment ... 7.44 μB per formula unit
DFT total energy ... -20.68 eV per cell

Structure (POSCAR):
```
CaEuHoTm
1.0
-2.4895 -4.3434 2.9541
-1.4272 -4.9290 -2.7308
2.9799 -4.8773 1.0593
Eu Ca Tm Ho
1 1 1 1
Direct
0.0000 0.0000 0.0000
0.2500 0.2500 0.2500
0.7500 0.7500 0.7500
0.5000 0.5000 0.5000
```

(5)
First-principles (PBE) data for InAgGePb after structural relaxation, as listed in Alexandria.

## Properties
Formation enthalpy at 0 K ... 0.156 eV/atom
Total magnetic moment ... 0.00 μB per formula unit
DFT total energy ... -13.29 eV per cell

Structure (POSCAR):
```
InAgGePb
1.0
5.1429 0.0000 0.0000
2.5714 4.4539 0.0000
2.5714 1.4846 4.1991
Pb Ge Ag In
1 1 1 1
Direct
0.2500 0.2500 0.2500
0.0000 0.0000 0.0000
0.5000 0.5000 0.5000
0.7500 0.7500 0.7500
```

(6)
First-principles (PBE) data for Tm6SiTe5 after structural relaxation, as listed in Alexandria.

## Properties
Total magnetic moment ... 0.00 μB per formula unit
Formation energy without anion corrections ... -1.202 eV per atom
DFT total energy ... -62.39 eV per cell

Structure (POSCAR):
```
Tm6SiTe5
1.0
7.2871 -0.1087 -1.3702
-3.9332 6.1355 -1.3702
0.1406 0.2527 7.3960
Si Tm Te
1 6 5
Direct
0.0000 0.0000 0.0000
0.3769 0.0746 0.2273
0.9254 0.6231 0.7727
0.2209 0.2209 0.7648
0.7791 0.7791 0.2352
0.0746 0.3769 0.2273
0.6231 0.9254 0.7727
0.8234 0.1766 0.5000
0.6644 0.3356 0.0000
0.5000 0.5000 0.5000
0.3356 0.6644 0.0000
0.1766 0.8234 0.5000
```

(7)
First-principles (PBE) data for La5TbAl3 after structural relaxation, as listed in Alexandria.

## Properties
Formation enthalpy at 0 K ... -0.238 eV/atom
Total magnetic moment ... 0.00 μB per formula unit
DFT total energy ... -85.28 eV per cell

Structure (POSCAR):
```
La5TbAl3
1.0
6.9692 0.0000 0.0000
0.0000 9.3991 0.0000
0.0000 -4.6995 8.1398
La Tb Al
10 2 6
Direct
0.0000 0.6666 0.3331
0.5000 0.3334 0.6669
0.0000 0.3334 0.6669
0.5000 0.6666 0.3331
0.7500 0.6613 0.6613
0.7500 0.0000 0.3387
0.7500 0.3387 0.0000
0.2500 0.3387 0.3387
0.2500 0.0000 0.6613
0.2500 0.6613 0.0000
0.0000 0.0000 0.0000
0.5000 0.0000 0.0000
0.7500 0.3227 0.3227
0.7500 0.0000 0.6773
0.7500 0.6772 0.0000
0.2500 0.6773 0.6773
0.2500 0.0000 0.3227
0.2500 0.3228 0.0000
```

(8)
First-principles (PBE) data for Sc2PbS after structural relaxation, as listed in Alexandria.

## Properties
Total magnetic moment ... 0.00 μB per formula unit
Formation energy without anion corrections ... -0.867 eV per atom
DFT total energy ... -23.97 eV per cell
ΔE to the lowest computed polymorph ... 288 meV per atom

Structure (POSCAR):
```
Sc2PbS
1.0
2.0644 0.0000 8.8084
-1.0322 1.7878 8.8084
-1.0322 -1.7878 8.8084
Pb Sc S
1 2 1
Direct
0.0000 0.0000 0.0000
0.8889 0.8889 0.8889
0.1111 0.1111 0.1111
0.5000 0.5000 0.5000
```

(9)
First-principles (PBE) data for Cd5AgHg after structural relaxation, as listed in Alexandria.

## Properties
Formation enthalpy at 0 K ... 0.188 eV/atom
Total magnetic moment ... 0.00 μB per formula unit
DFT total energy ... -6.41 eV per cell
ΔE to the lowest computed polymorph ... 149 meV per atom

Structure (POSCAR):
```
Cd5AgHg
1.0
-4.4405 -2.2789 -2.3612
2.7318 -7.1712 1.7840
-1.6011 4.8972 4.7403
Cd Ag Hg
5 1 1
Direct
0.4643 0.2481 0.4963
0.0400 0.5000 0.0000
0.9680 0.7519 0.5037
0.3426 0.1835 0.0000
0.3426 0.8165 0.0000
0.5441 0.5000 0.0000
0.8291 0.0000 0.0000
```

(10)
First-principles (PBE) data for RbTiCrPb2 after structural relaxation, as listed in Alexandria.

## Properties
Formation enthalpy at 0 K ... 1.958 eV/atom
Total magnetic moment ... 4.52 μB per formula unit
DFT total energy ... -16.11 eV per cell

Structure (POSCAR):
```
RbTiCrPb2
1.0
-3.7378 -4.4127 -1.3876
2.8315 -3.2762 2.7911
-3.2731 1.2624 4.8023
Pb Cr Rb Ti
2 1 1 1
Direct
0.0000 0.0000 0.5000
0.5000 0.0000 0.0000
0.0000 0.5000 0.0000
0.0000 0.0000 0.0000
0.5000 0.5000 0.5000
```

(11)
First-principles (PBE) data for TaSbP2 after structural relaxation, as listed in Alexandria.

## Properties
Total magnetic moment ... 0.00 μB per formula unit
Formation energy without anion corrections ... -0.034 eV per atom
DFT total energy ... -26.93 eV per cell

Structure (POSCAR):
```
TaSbP2
1.0
-4.1968 -0.4796 -1.4188
0.4245 -3.5745 -0.0475
-1.2416 -2.0214 4.3559
P Sb Ta
2 1 1
Direct
0.0000 0.8059 0.0135
0.5000 0.2277 0.1695
0.0000 0.5343 0.5566
0.5000 0.9322 0.7605
```

(12)
First-principles (PBE) data for BeGa2W after structural relaxation, as listed in Alexandria.

## Properties
Formation enthalpy at 0 K ... 0.485 eV/atom
Total magnetic moment ... 0.00 μB per formula unit
DFT total energy ... -41.58 eV per cell

Structure (POSCAR):
```
BeGa2W
1.0
6.7346 0.0000 0.0000
0.0000 6.7346 0.0000
3.3673 3.3673 2.5256
Be Ga W
2 4 2
Direct
0.5000 0.5000 0.0000
0.2500 0.7500 0.5000
0.5778 0.1250 0.2500
0.1722 0.6250 0.2500
0.3750 0.4222 0.7500
0.8750 0.8278 0.7500
0.0000 0.0000 0.0000
0.7500 0.2500 0.5000
```

(13)
First-principles (PBE) data for Ca2TlAsCl8 after structural relaxation, as listed in Alexandria.

## Properties
Total magnetic moment ... 0.00 μB per formula unit
Formation energy without anion corrections ... -1.518 eV per atom
DFT total energy ... -44.01 eV per cell

Structure (POSCAR):
```
Ca2TlAsCl8
1.0
6.5203 0.0139 -0.0034
0.0518 6.2957 -0.0055
0.0070 0.0115 8.6607
Ca Tl As Cl
2 1 1 8
Direct
0.5000 0.4999 0.7511
0.5000 0.5001 0.2489
0.0000 0.0000 0.5000
0.0000 0.0000 0.0000
0.1628 0.7682 0.2018
0.6828 0.7479 0.9999
0.8368 0.2315 0.2017
0.8372 0.2318 0.7982
0.3172 0.2521 0.0001
0.1632 0.7685 0.7983
0.6202 0.7261 0.4999
0.3798 0.2739 0.5001
```

(14)
First-principles (PBE) data for Y3Rh after structural relaxation, as listed in Alexandria.

## Properties
Formation enthalpy at 0 K ... -0.514 eV/atom
Total magnetic moment ... 0.00 μB per formula unit
DFT total energy ... -115.19 eV per cell

Structure (POSCAR):
```
Y3Rh
1.0
6.3609 0.0000 0.0000
0.0000 7.2037 0.0000
0.0000 0.0000 9.4999
Y Rh
12 4
Direct
0.6367 0.0356 0.2500
0.3633 0.9644 0.7500
0.1367 0.4644 0.7500
0.8633 0.5356 0.2500
0.1729 0.1773 0.0639
0.8271 0.8227 0.9361
0.6729 0.3227 0.9361
0.8271 0.8227 0.5639
0.3271 0.6773 0.0639
0.1729 0.1773 0.4361
0.3271 0.6773 0.4361
0.6729 0.3227 0.5639
0.4476 0.3835 0.2500
0.5524 0.6165 0.7500
0.9476 0.1165 0.7500
0.0524 0.8835 0.2500
```

(15)
First-principles (PBE) data for KMgCo after structural relaxation, as listed in Alexandria.

## Properties
Formation enthalpy at 0 K ... 1.000 eV/atom
Total magnetic moment ... 1.50 μB per formula unit
DFT total energy ... -6.80 eV per cell
ΔE to the lowest computed polymorph ... 392 meV per atom

Structure (POSCAR):
```
KMgCo
1.0
4.9835 0.0000 0.0000
2.4917 4.3158 0.0000
2.4917 1.4386 4.0690
Co K Mg
1 1 1
Direct
0.7500 0.7500 0.7500
0.0000 0.0000 0.0000
0.5000 0.5000 0.5000
```

(16)
First-principles (PBE) data for K2CuPSe4 after structural relaxation, as listed in Alexandria.

## Properties
Total magnetic moment ... 0.00 μB per formula unit
Formation energy without anion corrections ... -0.571 eV per atom
DFT total energy ... -60.41 eV per cell

Structure (POSCAR):
```
K2CuPSe4
1.0
6.1324 0.0000 0.0000
3.0662 6.5652 0.0000
3.0662 0.0000 12.2562
K Cu P Se
4 2 2 8
Direct
0.1852 0.0000 0.6296
0.8148 0.0000 0.3704
0.5648 0.5000 0.8704
0.9352 0.5000 0.1296
0.7500 0.5000 0.5000
0.0000 0.0000 0.0000
0.2500 0.5000 0.5000
0.5000 0.0000 0.0000
0.3296 0.8041 0.1024
0.2361 0.1959 0.8976
0.8663 0.8041 0.8976
0.5680 0.1959 0.1024
0.4204 0.6959 0.3976
0.5139 0.3041 0.6024
0.8837 0.6959 0.6024
0.1820 0.3041 0.3976
```

(17)
First-principles (PBE) data for InSbMoI2 after structural relaxation, as listed in Alexandria.

## Properties
Total magnetic moment ... 3.49 μB per formula unit
Formation energy without anion corrections ... 1.072 eV per atom
DFT total energy ... -15.43 eV per cell
ΔE to the lowest computed polymorph ... 756 meV per atom

Structure (POSCAR):
```
InSbMoI2
1.0
5.8865 0.0000 0.0000
0.0000 5.8865 0.0000
0.0000 0.0000 5.7758
I Sb Mo In
2 1 1 1
Direct
0.0000 0.5000 0.0000
0.5000 0.0000 0.0000
0.0000 0.0000 0.5000
0.5000 0.5000 0.5000
0.0000 0.0000 0.0000
```

(18)
First-principles (PBE) data for Ba2BeW2 after structural relaxation, as listed in Alexandria.

## Properties
Formation enthalpy at 0 K ... 1.051 eV/atom
Total magnetic moment ... 0.00 μB per formula unit
DFT total energy ... -28.22 eV per cell
ΔE to the lowest computed polymorph ... 0 meV per atom

Structure (POSCAR):
```
Ba2BeW2
1.0
-0.8189 -2.6599 -2.3817
3.0659 0.7284 -1.8677
6.4063 -7.9264 3.8327
Be Ba W
1 2 2
Direct
0.0000 0.0000 0.0000
0.3976 0.3976 0.2047
0.6024 0.6024 0.7953
0.7500 0.2500 0.5000
0.2500 0.7500 0.5000
```

(19)
First-principles (PBE) data for ThPa2Ge2Pd2 after structural relaxation, as listed in Alexandria.

## Properties
Formation enthalpy at 0 K ... -0.561 eV/atom
Total magnetic moment ... 0.00 μB per formula unit
DFT total energy ... -49.96 eV per cell

Structure (POSCAR):
```
ThPa2Ge2Pd2
1.0
4.3505 0.0000 0.0000
2.1752 3.7676 0.0000
2.1752 1.2559 9.0741
Th Pa Ge Pd
1 2 2 2
Direct
0.0000 0.0000 0.0000
0.1401 0.1401 0.5796
0.8599 0.8599 0.4204
0.7392 0.7392 0.7825
0.2608 0.2608 0.2175
0.5917 0.5917 0.2249
0.4083 0.4083 0.7751
```

(20)
First-principles (PBE) data for Be2TlPb after structural relaxation, as listed in Alexandria.

## Properties
Formation enthalpy at 0 K ... 0.833 eV/atom
Total magnetic moment ... 0.00 μB per formula unit
DFT total energy ... -10.19 eV per cell
ΔE to the lowest computed polymorph ... 321 meV per atom

Structure (POSCAR):
```
Be2TlPb
1.0
2.0062 0.9371 4.3107
-2.3083 -1.2568 4.0716
1.6956 -3.6315 2.7244
Pb Be Tl
1 2 1
Direct
0.5000 0.5000 0.5000
0.2500 0.2500 0.2500
0.7500 0.7500 0.7500
0.0000 0.0000 0.0000
```

(21)
First-principles (PBE) data for CoTe2Se after structural relaxation, as listed in Alexandria.

## Properties
Total magnetic moment ... 0.02 μB per formula unit
Formation energy without anion corrections ... 0.034 eV per atom
DFT total energy ... -16.74 eV per cell

Structure (POSCAR):
```
CoTe2Se
1.0
3.7952 0.0000 0.0000
0.0000 5.4788 0.0732
0.0000 3.0948 4.5299
Co Se Te
1 1 2
Direct
0.5000 0.2500 0.2500
0.5000 0.7500 0.7500
0.0000 0.0792 0.0791
0.0000 0.4208 0.4209
```

(22)
First-principles (PBE) data for Ac6Ir3Pd2Se after structural relaxation, as listed in Alexandria.

## Properties
Total magnetic moment ... 0.00 μB per formula unit
Formation energy without anion corrections ... -0.877 eV per atom
DFT total energy ... -75.63 eV per cell

Structure (POSCAR):
```
Ac6Ir3Pd2Se
1.0
4.3723 0.0000 0.0000
0.0000 8.8396 0.3100
-2.1862 -2.5539 9.2523
Ac Ir Pd Se
6 3 2 1
Direct
0.3272 0.9235 0.6544
0.6649 0.5934 0.3298
0.6728 0.0765 0.3456
0.9960 0.2659 0.9921
0.0040 0.7341 0.0079
0.3351 0.4066 0.6702
0.5000 0.5000 0.0000
0.8357 0.1672 0.6714
0.1643 0.8328 0.3286
0.8330 0.6645 0.6660
0.1670 0.3355 0.3340
0.5000 0.0000 0.0000
```

(23)
First-principles (PBE) data for HgAsOs after structural relaxation, as listed in Alexandria.

## Properties
Formation enthalpy at 0 K ... 0.617 eV/atom
Total magnetic moment ... 0.13 μB per formula unit
DFT total energy ... -14.33 eV per cell
ΔE to the lowest computed polymorph ... 300 meV per atom

Structure (POSCAR):
```
HgAsOs
1.0
-0.9028 3.7410 -1.5471
-2.8695 -2.9949 -0.0074
-1.2106 1.1512 3.4900
As Os Hg
1 1 1
Direct
0.0000 0.0000 0.8333
0.3333 0.6667 0.8333
0.6667 0.3333 0.3333
```

(24)
First-principles (PBE) data for SrHN after structural relaxation, as listed in Alexandria.

## Properties
Total magnetic moment ... 0.00 μB per formula unit
DFT total energy ... -55.21 eV per cell

Structure (POSCAR):
```
SrHN
1.0
-2.1510 -3.5437 5.6149
-0.3572 -2.4255 -1.6676
6.6319 -1.8993 1.3419
Sr H N
4 4 4
Direct
0.9999 0.2500 0.7500
0.5001 0.7500 0.2500
0.0001 0.7500 0.2500
0.4999 0.2500 0.7500
0.7499 0.2500 0.5102
0.7501 0.7500 0.0102
0.2501 0.7500 0.4898
0.2499 0.2500 0.9898
0.2500 0.2500 0.4528
0.2500 0.7500 0.9528
0.7500 0.7500 0.5472
0.7500 0.2500 0.0472
```

(25)
First-principles (PBE) data for Fe2MoAs after structural relaxation, as listed in Alexandria.

## Properties
Formation enthalpy at 0 K ... 0.088 eV/atom
Total magnetic moment ... 2.88 μB per formula unit
DFT total energy ... -32.05 eV per cell

Structure (POSCAR):
```
Fe2MoAs
1.0
4.9111 0.0035 0.0203
3.9680 2.8938 0.0203
1.7067 0.5569 3.6994
As Fe Mo
1 2 1
Direct
0.2500 0.2500 0.2500
0.9861 0.9861 0.0139
0.5139 0.5139 0.4861
0.7500 0.7500 0.7500
```